Entry 1:
Compound: NaLaPm2
Source: Alexandria
Functional: PBE-GGA
Structure: relaxed

Unit cell a=3.6366 b=3.6366 c=12.6260 alpha=81.72 beta=81.72 gamma=60.00
Atoms (fractional coordinates):
Pm: 0.0852 0.0852 0.7443
Pm: 0.2481 0.2481 0.2556
La: 0.5000 0.5000 0.5001
Na: 0.6667 0.6667 0.0000

Calculated values
DOS at the Fermi energy   1.624 states/eV/atom
ΔH_f (0 K)   126 meV/atom
Total magnetic moment   0.01 Bohr magnetons per cell
Calculated volume   142.6 Å³ per cell
Energy above the most stable polymorph in this dataset   0.04 eV/f.u.
VASP energy   -3.810 eV/atom

***

Entry 2:
Compound: NaLaPm2
Source: Alexandria
Functional: PBE-GGA
Structure: relaxed

Unit cell a=3.6018 b=3.6018 c=13.1809 alpha=82.15 beta=82.15 gamma=60.00
Atoms (fractional coordinates):
Pm: 0.0912 0.0912 0.7265
Pm: 0.9088 0.9088 0.2735
Na: 0.0000 0.0000 0.0000
La: 0.5000 0.5000 0.5000

Calculated values
DOS at the Fermi energy   1.346 states/eV/atom
ΔH_f (0 K)   152 meV/atom
Total magnetic moment   0.00 Bohr magnetons per cell
Calculated volume   146.2 Å³ per cell
Energy above the most stable polymorph in this dataset   0.14 eV/f.u.
VASP energy   -3.785 eV/atom

***

Entry 3:
Compound: Na2LaPmS4
Source: Alexandria
Functional: PBE-GGA
Structure: relaxed

Unit cell a=4.1654 b=7.2177 c=7.0914 alpha=109.81 beta=90.00 gamma=90.00
Atoms (fractional coordinates):
S: 0.5000 0.2497 0.2336
S: 0.0000 0.2608 0.7678
S: 0.5000 0.7503 0.7664
S: 0.0000 0.7392 0.2322
Na: 0.0000 0.5000 0.5000
Na: 0.5000 0.0000 0.5000
Pm: 0.5000 0.5000 0.0000
La: 0.0000 0.0000 0.0000

Calculated values
DOS at the Fermi energy   0.000 states/eV/atom
Total magnetic moment   0.00 Bohr magnetons per cell
Calculated volume   200.6 Å³ per cell
Raw formation energy   -1831 meV/atom
VASP energy   -5.435 eV/atom

***

Entry 4:
Compound: Na4La3PmS8
Source: Alexandria
Functional: PBE-GGA
Structure: relaxed

Unit cell a=8.4015 b=8.2421 c=8.4007 alpha=120.67 beta=120.00 gamma=90.00
Atoms (fractional coordinates):
S: 0.2419 0.7330 0.9914
S: 0.7581 0.2670 0.5161
S: 0.2505 0.2670 0.0086
S: 0.2550 0.2654 0.5100
S: 0.7581 0.2670 0.0086
S: 0.7495 0.7330 0.9914
S: 0.7450 0.7346 0.4900
S: 0.2419 0.7330 0.4839
Na: 0.5000 0.0000 0.5000
Na: 0.0000 0.0000 0.0000
Na: 0.0000 0.0000 0.5000
Na: 0.5000 0.0000 0.0000
La: 0.5000 0.5000 0.0000
La: 0.0000 0.5000 0.5000
La: 0.5000 0.5000 0.5000
Pm: 0.0000 0.5000 0.0000

Calculated values
DOS at the Fermi energy   0.000 states/eV/atom
Total magnetic moment   0.00 Bohr magnetons per cell
Calculated volume   407.1 Å³ per cell
Raw formation energy   -1844 meV/atom
VASP energy   -5.458 eV/atom